(1)
Here is an optimized crystal structure of MgAl2B from Alexandria via LeMat-Bulk. Energies are from PBE-GGA.

Computed properties:
As for the crystal system: cubic. The value obtained for the formation energy is 0.7701 eV per atom. For the electronic total energy, the calculation gives -3.17 eV/atom. The energy above the most stable polymorph in this dataset comes out at 525.8 meV/atom.

Lattice parameters (Å, degrees): 6.2693 6.2693 6.2693 90.00 90.00 90.00
Last column: nearest neighbours and their distance in Å.
Space group Fm-3m (No. 225)
Unique sites:
Mg  0.0000  0.0000  0.0000  8 Al 2.71
Al  0.2500  0.2500  0.2500  4 Mg 2.71, 4 B 2.71
B  0.0000  0.0000  0.5000  8 Al 2.71

(2)
Here is an optimized crystal structure of MgAl2B6 from Alexandria via LeMat-Bulk. Energies are from PBE-GGA.

Computed properties:
As for the crystal system: hexagonal. The value obtained for the formation energy is -0.1132 eV per atom. For the electronic total energy, the calculation gives -5.57 eV/atom.

Lattice parameters (Å, degrees): 5.2586 5.2586 3.2985 90.00 90.00 120.00
Last column: nearest neighbours and their distance in Å.
Space group P6/mmm (No. 191)
Unique sites:
Mg  0.0000  0.0000  0.0000  12 B 2.41
Al  0.3333  0.6667  0.0000  12 B 2.40
B  0.0000  0.3353  0.5000  3 B 1.73-1.76

(3)
Here is an optimized crystal structure of MgAlB from Alexandria via LeMat-Bulk. Energies are from PBE-GGA.

Computed properties:
As for the crystal system: monoclinic. The value obtained for the formation energy is 0.0744 eV per atom. For the electronic total energy, the calculation gives -3.93 eV/atom.

Lattice parameters (Å, degrees): 11.4229 3.0877 4.7704 90.00 102.10 90.00
Last column: nearest neighbours and their distance in Å.
Space group C2/m (No. 12)
Unique sites:
Mg  0.1459  0.0000  0.3422  4 B 2.47-2.69
Al  0.0769  0.5000  0.8003  3 B 2.32-2.33
B  0.2329  0.0000  0.9108  2 B 1.77

(4)
Here is an optimized crystal structure of MgAlB from Alexandria via LeMat-Bulk. Energies are from PBE-GGA.

Computed properties:
As for the crystal system: monoclinic. The value obtained for the formation energy is 0.0686 eV per atom. For the electronic total energy, the calculation gives -3.94 eV/atom.

Lattice parameters (Å, degrees): 3.3230 3.0231 8.7496 90.00 100.97 90.00
Last column: nearest neighbours and their distance in Å.
Space group Pm (No. 6)
Unique sites:
Mg  0.0000  0.0000  0.0000  6 B 2.51-2.53
Mg  0.2264  0.0000  0.4568  1 B 2.78, 8 Al 2.98-3.01, 2 Mg 3.02
Al  0.6127  0.5000  0.2276  8 Mg 2.98-2.99, 4 Al 3.02-3.32, 1 B 3.12
Al  0.8452  0.5000  0.6901  6 B 2.24-2.38
B  0.3882  0.0000  0.7804  2 B 1.68
B  0.4324  0.5000  0.8646  2 B 1.68

(5)
Here is an optimized crystal structure of MgAl3B from Alexandria via LeMat-Bulk. Energies are from PBE-GGA.

Computed properties:
As for the crystal system: cubic. The value obtained for the formation energy is 0.3200 eV per atom. For the electronic total energy, the calculation gives -3.58 eV/atom. The energy above the most stable polymorph in this dataset comes out at 0.0 meV/atom.

Lattice parameters (Å, degrees): 4.3276 4.3276 4.3276 90.00 90.00 90.00
Last column: nearest neighbours and their distance in Å.
Space group Pm-3m (No. 221)
Unique sites:
Mg  0.0000  0.0000  0.0000  12 Al 3.06
Al  0.0000  0.5000  0.5000  2 B 2.16
B  0.5000  0.5000  0.5000  6 Al 2.16

(6)
Here is an optimized crystal structure of MgAlB4 from Alexandria via LeMat-Bulk. Energies are from PBE-GGA.

Computed properties:
As for the crystal system: hexagonal. The value obtained for the formation energy is -0.1494 eV per atom. For the electronic total energy, the calculation gives -5.49 eV/atom. The energy above the most stable polymorph in this dataset comes out at 0.0 meV/atom.

Lattice parameters (Å, degrees): 3.0418 3.0418 6.7338 90.00 90.00 120.00
Last column: nearest neighbours and their distance in Å.
Space group P6/mmm (No. 191)
Unique sites:
Mg  0.0000  0.0000  0.0000  12 B 2.51
Al  0.0000  0.0000  0.5000  12 B 2.36
B  0.3333  0.6667  0.2663  3 B 1.76